First-principles (PBE) data for a relaxed structure of TeAs2Pb, as listed in Alexandria via LeMat-Bulk.

Cell lengths 8.8000, 8.8000, 8.8000 Å; angles 140.30, 140.30, 57.39 degrees
Closest atoms and distances in Å follow each position.
Fractional coordinates of all 8 atoms:
Te 0.0000 0.0000 0.0000  4 As 2.79
Te 0.7500 0.2500 0.5000  4 As 2.79
As 0.1025 0.6250 0.9775  2 Te 2.79, 2 Pb 2.93
As 0.3750 0.3525 0.4775  2 Te 2.79, 2 Pb 2.93
As 0.6475 0.1250 0.0225  2 Te 2.79, 2 Pb 2.93
As 0.8750 0.8975 0.5225  2 Te 2.79, 2 Pb 2.93
Pb 0.2500 0.7500 0.5000  4 As 2.93
Pb 0.5000 0.5000 0.0000  4 As 2.93

- Volume: 34.45 Å³ per atom
- E above lowest polymorph: 321.5 meV/atom
- Raw formation energy: 25.4 kJ per mole of atoms
- Total energy: -3.774 eV/atom

=====

First-principles (PBE) data for a relaxed structure of Rb2AcPu3O12, as listed in Alexandria via LeMat-Bulk.

Cell lengths 7.2923, 7.2923, 7.2923 Å; angles 68.15, 68.15, 68.15 degrees
Closest atoms and distances in Å follow each position.
Fractional coordinates of all 18 atoms:
Rb 0.1092 0.1092 0.1092  3 O 2.81
Rb 0.8908 0.8908 0.8908  3 O 2.81
Ac 0.5000 0.5000 0.5000  12 O 2.79-2.87
Pu 0.0000 0.5000 0.5000  2 O 1.88
Pu 0.5000 0.0000 0.5000  2 O 1.88
Pu 0.5000 0.5000 0.0000  2 O 1.88
O 0.0726 0.6305 0.6305  1 Pu 1.88
O 0.2424 0.2424 0.5965  2 Pu 2.15
O 0.2424 0.5965 0.2424  2 Pu 2.15
O 0.3695 0.3695 0.9274  1 Pu 1.88
O 0.3695 0.9274 0.3695  1 Pu 1.88
O 0.4035 0.7576 0.7576  2 Pu 2.15
O 0.5965 0.2424 0.2424  2 Pu 2.15
O 0.6305 0.0726 0.6305  1 Pu 1.88
O 0.6305 0.6305 0.0726  1 Pu 1.88
O 0.7576 0.4035 0.7576  2 Pu 2.15
O 0.7576 0.7576 0.4035  2 Pu 2.15
O 0.9274 0.3695 0.3695  1 Pu 1.88

- Volume: 17.86 Å³ per atom
- Raw formation energy: -247.2 kJ per mole of atoms
- Total energy: -8.592 eV/atom

=====

We obtain density values of 5.84; 6.83 g cm⁻³ for the records listed above, in that order.